Entry from Alexandria via LeMat-Bulk: a relaxed structure of BaInFe2Ge (PBE-GGA).

Output
- energy (eV for the cell shown) = -22.3
- calculated volume (Å³ per cell) = 117
- energy above the lowest structure with this stoichiometry (eV/atom) = 0.000

Lattice parameters (Å, degrees): 4.682 5.347 4.682 90.00 90.00 90.00
Last column: magnetic moment on the atom in μB.
Positions (direct):
Ba 0.500 0.500 0.500  -0.03
Fe 0.000 0.000 0.500  0.30
Fe 0.500 0.000 0.000  0.03
Ge 0.000 0.000 0.000  -0.01
In 0.000 0.500 0.000  -0.02